KSb2TeRu, optimized geometry, DFT PBE; space-group type = No. 123; V = 38.0 Å³/atom; uncorrected energy = -2.433 eV/atom; energy relative to the elements, uncorrected = 1.92 eV per atom
1.0
5.7361 0.0000 0.0000
0.0000 5.7361 0.0000
0.0000 0.0000 5.7728
K Sb Te Ru
1 2 1 1
direct
0.0000 0.0000 0.0000
0.0000 0.5000 0.0000
0.5000 0.0000 0.0000
0.0000 0.0000 0.5000
0.5000 0.5000 0.5000